Material: Hf5ZnFe4
Method: DFT, PBE
State: optimized geometry

Cell: 3.1591 3.1591 16.0114 Å, 90.00 90.00 90.00°
Element x y z (fractional)
Hf 0.0000 0.0000 0.0000
Hf 0.0000 0.0000 0.1951
Hf 0.0000 0.0000 0.3891
Hf 0.0000 0.0000 0.6109
Hf 0.0000 0.0000 0.8049
Zn 0.5000 0.5000 0.5000
Fe 0.5000 0.5000 0.0976
Fe 0.5000 0.5000 0.2940
Fe 0.5000 0.5000 0.7060
Fe 0.5000 0.5000 0.9024

**Density of states at the Fermi level**: 5.61 states/eV/f.u.
**Theoretical density**: 12.276 g/cm3
**DFT formation energy**: -0.29 eV per atom
**SG**: P4/mmm